Record 1
Below is a geometry-optimized PmPtAu structure, with properties calculated at the PBE level.

Structure (CIF):
```
data_PmPtAu
_cell_length_a 5.2228
_cell_length_b 5.2228
_cell_length_c 17.5568
_cell_angle_alpha 90.00
_cell_angle_beta 90.00
_cell_angle_gamma 120.00
_space_group_name_H-M_alt 'R -3 m'
_space_group_IT_number 166
_space_group_name_Hall '-R 3 2"'
loop_
_atom_site_label
_atom_site_fract_x
_atom_site_fract_y
_atom_site_fract_z
_atom_site_occupancy
Pm1 0.0000 0.0000 0.2399 1
Pt1 0.0000 0.0000 0.0764 1
Au1 0.0000 0.0000 0.4189 1
```

- relative energy among the computed polymorphs (meV/atom) = 137.6
- theoretical density (Mg/m³) = 12.9



Record 2
Below is a geometry-optimized PmPtAu2 structure, with properties calculated at the PBE level.

Structure (CIF):
```
data_PmPtAu2
_cell_length_a 5.2758
_cell_length_b 13.7565
_cell_length_c 5.2490
_cell_angle_alpha 90.00
_cell_angle_beta 117.17
_cell_angle_gamma 90.00
_space_group_name_H-M_alt 'C 1 2/c 1'
_space_group_IT_number 15
_space_group_name_Hall '-C 2yc'
loop_
_atom_site_label
_atom_site_fract_x
_atom_site_fract_y
_atom_site_fract_z
_atom_site_occupancy
Pm1 0.0000 0.1348 0.2500 1
Pt1 0.0000 0.2502 0.7500 1
Au1 0.1810 0.4222 0.0991 1
```

- relative energy among the computed polymorphs (meV/atom) = 0.0
- theoretical density (Mg/m³) = 14.4



Record 3
Below is a geometry-optimized Pm2PtAu structure, with properties calculated at the PBE level.

Structure (CIF):
```
data_Pm2PtAu
_cell_length_a 5.8560
_cell_length_b 4.6633
_cell_length_c 7.7950
_cell_angle_alpha 90.00
_cell_angle_beta 110.20
_cell_angle_gamma 90.00
_space_group_name_H-M_alt 'P 1 21/m 1'
_space_group_IT_number 11
_space_group_name_Hall '-P 2yb'
loop_
_atom_site_label
_atom_site_fract_x
_atom_site_fract_y
_atom_site_fract_z
_atom_site_occupancy
Pm1 0.2182 0.2500 0.4351 1
Pm2 0.2326 0.2500 0.9262 1
Pt1 0.3267 0.7500 0.7065 1
Au1 0.3217 0.7500 0.2072 1
```

- relative energy among the computed polymorphs (meV/atom) = 0.0
- theoretical density (Mg/m³) = 11.3



Record 4
Below is a geometry-optimized PmPtAu2 structure, with properties calculated at the PBE level.

Structure (CIF):
```
data_PmPtAu2
_cell_length_a 4.1341
_cell_length_b 4.1341
_cell_length_c 4.7962
_cell_angle_alpha 90.00
_cell_angle_beta 90.00
_cell_angle_gamma 90.00
_space_group_name_H-M_alt 'P 4/m m m'
_space_group_IT_number 123
_space_group_name_Hall '-P 4 2'
loop_
_atom_site_label
_atom_site_fract_x
_atom_site_fract_y
_atom_site_fract_z
_atom_site_occupancy
Pm1 0.0000 0.0000 0.0000 1
Pt1 0.5000 0.5000 0.0000 1
Au1 0.0000 0.5000 0.5000 1
```

- relative energy among the computed polymorphs (meV/atom) = 162.6
- theoretical density (Mg/m³) = 14.9



Record 5
Below is a geometry-optimized PmPt2Au3 structure, with properties calculated at the PBE level.

Structure (CIF):
```
data_PmPt2Au3
_cell_length_a 6.0488
_cell_length_b 6.0488
_cell_length_c 21.6240
_cell_angle_alpha 90.00
_cell_angle_beta 90.00
_cell_angle_gamma 120.00
_space_group_name_H-M_alt 'R -3 m'
_space_group_IT_number 166
_space_group_name_Hall '-R 3 2"'
loop_
_atom_site_label
_atom_site_fract_x
_atom_site_fract_y
_atom_site_fract_z
_atom_site_occupancy
Pm1 0.0000 0.0000 0.2265 1
Pt1 0.0000 0.0000 0.0000 1
Pt2 0.0000 0.5000 0.0000 1
Au1 0.0042 0.5021 0.2253 1
```

- theoretical density (Mg/m³) = 16.4
- raw total energy (eV per atom) = -4.825



Record 6
Below is a geometry-optimized Pm5PtAu2 structure, with properties calculated at the PBE level.

Structure (CIF):
```
data_Pm5PtAu2
_cell_length_a 7.3275
_cell_length_b 12.4046
_cell_length_c 4.8648
_cell_angle_alpha 90.00
_cell_angle_beta 90.00
_cell_angle_gamma 90.00
_space_group_name_H-M_alt 'P b a m'
_space_group_IT_number 55
_space_group_name_Hall '-P 2 2ab'
loop_
_atom_site_label
_atom_site_fract_x
_atom_site_fract_y
_atom_site_fract_z
_atom_site_occupancy
Pm1 0.0000 0.0000 0.0000 1
Pm2 0.1567 0.2897 0.0000 1
Pm3 0.1782 0.5874 0.5000 1
Pt1 0.0000 0.5000 0.0000 1
Au1 0.0697 0.8354 0.5000 1
```

- theoretical density (Mg/m³) = 9.9
- raw total energy (eV per atom) = -5.241



Record 7
Below is a geometry-optimized Pm8Pt5Au structure, with properties calculated at the PBE level.

Structure (CIF):
```
data_Pm8Pt5Au
_cell_length_a 9.0396
_cell_length_b 9.0396
_cell_length_c 8.9445
_cell_angle_alpha 90.00
_cell_angle_beta 90.00
_cell_angle_gamma 90.00
_space_group_name_H-M_alt 'I -4'
_space_group_IT_number 82
_space_group_name_Hall 'I -4'
loop_
_atom_site_label
_atom_site_fract_x
_atom_site_fract_y
_atom_site_fract_z
_atom_site_occupancy
Pm1 0.0616 0.3073 0.4322 1
Pm2 0.0630 0.1810 0.8158 1
Pt1 0.0000 0.0000 0.5000 1
Pt2 0.1273 0.2498 0.1232 1
Au1 0.0000 0.5000 0.7500 1
```

- theoretical density (Mg/m³) = 10.6
- raw total energy (eV per atom) = -6.042



Record 8
Below is a geometry-optimized Pm8Pt2Au structure, with properties calculated at the PBE level.

Structure (CIF):
```
data_Pm8Pt2Au
_cell_length_a 18.7938
_cell_length_b 5.1693
_cell_length_c 6.8829
_cell_angle_alpha 90.00
_cell_angle_beta 108.79
_cell_angle_gamma 90.00
_space_group_name_H-M_alt 'C 1 2/m 1'
_space_group_IT_number 12
_space_group_name_Hall '-C 2y'
loop_
_atom_site_label
_atom_site_fract_x
_atom_site_fract_y
_atom_site_fract_z
_atom_site_occupancy
Pm1 0.0285 0.0000 0.2850 1
Pm2 0.0945 0.5000 0.9754 1
Pm3 0.1760 0.5000 0.5047 1
Pm4 0.2021 0.0000 0.8482 1
Pt1 0.1705 0.0000 0.2377 1
Au1 0.0000 0.5000 0.5000 1
```

- relative energy among the computed polymorphs (meV/atom) = 0.0
- theoretical density (Mg/m³) = 9.2